(1)
A plane-wave DFT calculation with PBE was carried out for a relaxed structure of Ho3Al3Co2.

Results
E, eV per formula unit: -42.55
D(E_F), states/eV/f.u.: 7.3

Cell lengths 7.378, 14.898, 5.725 Å; angles 90.00, 90.00, 90.00 degrees
Space group Pnma (No. 62)
Symmetry-distinct sites (fractional):
Ho: 0.032 0.108 0.106
Ho: 0.167 0.250 0.637
Al: 0.160 0.036 0.598
Al: 0.177 0.750 0.619
Co: 0.137 0.607 0.376

---

(2)
A plane-wave DFT calculation with PBE was carried out for a relaxed structure of Ho6AlCo2.

Results
E, eV per formula unit: -47.77
D(E_F), states/eV/f.u.: 7.2

Cell lengths 9.218, 9.469, 9.886 Å; angles 90.00, 90.00, 90.00 degrees
Space group Immm (No. 71)
Symmetry-distinct sites (fractional):
Ho: 0.000 0.198 0.239
Ho: 0.188 0.500 0.175
Ho: 0.218 0.318 0.500
Al: 0.000 0.000 0.000
Al: 0.000 0.000 0.500
Co: 0.000 0.329 0.000
Co: 0.000 0.500 0.385

---

(3)
A plane-wave DFT calculation with PBE was carried out for a relaxed structure of HoAlCo4.

Results
E, eV per formula unit: -38.19
D(E_F), states/eV/f.u.: 7.7

Cell lengths 6.904, 6.904, 6.904 Å; angles 90.00, 90.00, 90.00 degrees
Space group F-43m (No. 216)
Symmetry-distinct sites (fractional):
Ho: 0.000 0.000 0.000
Al: 0.250 0.250 0.250
Co: 0.124 0.124 0.624

---

(4)
A plane-wave DFT calculation with PBE was carried out for a relaxed structure of Ho2AlCo.

Results
E, eV per formula unit: -18.44
Energy above the most stable polymorph in this dataset, meV per atom: 688.1
D(E_F), states/eV/f.u.: 3.8

Cell lengths 3.2781, 3.2781, 29.2902 Å; angles 90.00, 90.00, 120.00 degrees
Space group R-3m (No. 166, hexagonal axes)
Symmetry-distinct sites (fractional):
Ho: 0.0000 0.0000 0.0842
Al: 0.0000 0.0000 0.5000
Co: 0.0000 0.0000 0.0000